No. 1
A relaxed structure of NaSb2TeI, computed with GGA-PBEsol.

a b c (Å): 5.505 5.505 5.245
angles (deg): 90.00 90.00 90.00
Fractional coordinates of all 5 atoms:
Na (0.000, 0.000, 0.000)
Sb (0.000, 0.500, 0.000)
Sb (0.500, 0.000, 0.000)
Te (0.000, 0.000, 0.500)
I (0.500, 0.500, 0.500)

Output
E_tot in eV/atom: -2.47
ΔE_f (raw) in meV/atom: 690
Offset from the most stable computed form in kJ/mol of atoms: 14.77
V in Å³ per cell: 159.0
Space group: P4/mmm

=====

No. 2
A relaxed structure of BeNiCl2, computed with GGA-PBEsol.

a b c (Å): 3.108 3.108 6.436
angles (deg): 90.00 90.00 90.00
Fractional coordinates of all 4 atoms:
Be (0.000, 0.000, 0.000)
Ni (0.500, 0.500, 0.886)
Cl (0.000, 0.000, 0.679)
Cl (0.500, 0.500, 0.213)

Output
E_tot in eV/atom: -3.83
ΔE_f (raw) in meV/atom: -285
Offset from the most stable computed form in kJ/mol of atoms: 0.00
V in Å³ per cell: 62.2
Space group: P4mm

=====

No. 3
A relaxed structure of Ca2MgCu9, computed with GGA-PBEsol.

a b c (Å): 8.686 8.686 8.686
angles (deg): 33.36 33.36 33.36
Fractional coordinates of all 12 atoms:
Ca (0.138, 0.138, 0.138)
Ca (0.862, 0.862, 0.862)
Mg (0.000, 0.000, 0.000)
Cu (0.081, 0.580, 0.580)
Cu (0.333, 0.333, 0.333)
Cu (0.420, 0.420, 0.919)
Cu (0.420, 0.919, 0.420)
Cu (0.500, 0.500, 0.500)
Cu (0.580, 0.081, 0.580)
Cu (0.580, 0.580, 0.081)
Cu (0.667, 0.667, 0.667)
Cu (0.919, 0.420, 0.420)

Output
E_tot in eV/atom: -3.81
V in Å³ per cell: 176.5
E_form in eV/atom: -0.060
Space group: R-3m

=====

No. 4
A relaxed structure of Ba6Na2Si4O15, computed with GGA-PBEsol.

a b c (Å): 9.531 7.856 11.501
angles (deg): 90.00 107.66 90.00
Fractional coordinates of all 54 atoms:
Ba (0.004, 0.008, 0.275)
Ba (0.004, 0.492, 0.775)
Ba (0.331, 0.021, 0.083)
Ba (0.331, 0.479, 0.583)
Ba (0.342, 0.506, 0.086)
Ba (0.342, 0.994, 0.586)
Ba (0.658, 0.006, 0.414)
Ba (0.658, 0.494, 0.914)
Ba (0.669, 0.521, 0.417)
Ba (0.669, 0.979, 0.917)
Ba (0.996, 0.508, 0.225)
Ba (0.996, 0.992, 0.725)
Na (0.322, 0.748, 0.831)
Na (0.322, 0.752, 0.331)
Na (0.678, 0.248, 0.669)
Na (0.678, 0.252, 0.169)
Si (0.036, 0.711, 0.510)
Si (0.036, 0.789, 0.010)
Si (0.378, 0.244, 0.844)
Si (0.378, 0.256, 0.344)
Si (0.622, 0.744, 0.656)
Si (0.622, 0.756, 0.156)
Si (0.964, 0.211, 0.990)
Si (0.964, 0.289, 0.490)
O (0.000, 0.000, 0.000)
O (0.000, 0.500, 0.500)
O (0.120, 0.191, 0.524)
O (0.120, 0.309, 0.024)
O (0.132, 0.747, 0.417)
O (0.132, 0.753, 0.917)
O (0.139, 0.743, 0.649)
O (0.139, 0.757, 0.149)
O (0.280, 0.068, 0.824)
O (0.280, 0.432, 0.324)
O (0.291, 0.074, 0.318)
O (0.291, 0.426, 0.818)
O (0.487, 0.236, 0.755)
O (0.487, 0.264, 0.255)
O (0.488, 0.246, 0.988)
O (0.488, 0.254, 0.488)
O (0.512, 0.746, 0.512)
O (0.512, 0.754, 0.012)
O (0.513, 0.736, 0.745)
O (0.513, 0.764, 0.245)
O (0.709, 0.574, 0.182)
O (0.709, 0.926, 0.682)
O (0.720, 0.568, 0.676)
O (0.720, 0.932, 0.176)
O (0.861, 0.243, 0.851)
O (0.861, 0.257, 0.351)
O (0.868, 0.247, 0.083)
O (0.868, 0.253, 0.583)
O (0.880, 0.691, 0.976)
O (0.880, 0.809, 0.476)

Output
E_tot in eV/atom: -7.21
ΔE_f (raw) in meV/atom: -2861
V in Å³ per cell: 820.5
Space group: P2_1/c

=====

No. 5
A relaxed structure of RbNa2ReAs, computed with GGA-PBEsol.

a b c (Å): 5.675 5.675 4.711
angles (deg): 90.00 90.00 90.00
Fractional coordinates of all 5 atoms:
Rb (0.000, 0.000, 0.000)
Na (0.000, 0.500, 0.500)
Na (0.500, 0.000, 0.500)
Re (0.500, 0.500, 0.500)
As (0.500, 0.500, 0.000)

Output
E_tot in eV/atom: -3.90
V in Å³ per cell: 151.7
E_form in eV/atom: 0.551
Space group: P4/mmm

=====

No. 6
A relaxed structure of NaW3O9, computed with GGA-PBEsol.

a b c (Å): 5.416 5.416 6.635
angles (deg): 90.00 90.00 120.00
Fractional coordinates of all 13 atoms:
Na (0.000, 0.000, 0.000)
W (0.000, 0.000, 0.500)
W (0.333, 0.667, 0.170)
W (0.667, 0.333, 0.830)
O (0.000, 0.500, 0.000)
O (0.165, 0.330, 0.330)
O (0.165, 0.835, 0.330)
O (0.330, 0.165, 0.670)
O (0.500, 0.000, 0.000)
O (0.500, 0.500, 0.000)
O (0.670, 0.835, 0.330)
O (0.835, 0.165, 0.670)
O (0.835, 0.670, 0.670)

Output
E_tot in eV/atom: -9.10
ΔE_f (raw) in meV/atom: -2171
V in Å³ per cell: 168.5
Space group: P-3m1

=====

No. 7
A relaxed structure of Na6Cu2PC4O16, computed with GGA-PBEsol.

a b c (Å): 9.742 9.742 9.742
angles (deg): 60.00 60.00 60.00
Fractional coordinates of all 58 atoms:
Na (0.084, 0.084, 0.666)
Na (0.084, 0.666, 0.084)
Na (0.084, 0.666, 0.666)
Na (0.334, 0.334, 0.916)
Na (0.334, 0.916, 0.334)
Na (0.334, 0.916, 0.916)
Na (0.666, 0.084, 0.084)
Na (0.666, 0.084, 0.666)
Na (0.666, 0.666, 0.084)
Na (0.916, 0.334, 0.334)
Na (0.916, 0.334, 0.916)
Na (0.916, 0.916, 0.334)
Cu (0.000, 0.500, 0.500)
Cu (0.500, 0.000, 0.500)
Cu (0.500, 0.500, 0.000)
Cu (0.500, 0.500, 0.500)
P (0.125, 0.125, 0.125)
P (0.875, 0.875, 0.875)
C (0.285, 0.285, 0.285)
C (0.285, 0.285, 0.646)
C (0.285, 0.646, 0.285)
C (0.354, 0.715, 0.715)
C (0.646, 0.285, 0.285)
C (0.715, 0.354, 0.715)
C (0.715, 0.715, 0.354)
C (0.715, 0.715, 0.715)
O (0.060, 0.060, 0.060)
O (0.060, 0.060, 0.320)
O (0.060, 0.320, 0.060)
O (0.142, 0.304, 0.649)
O (0.142, 0.405, 0.304)
O (0.142, 0.649, 0.405)
O (0.304, 0.142, 0.405)
O (0.304, 0.405, 0.649)
O (0.304, 0.649, 0.142)
O (0.320, 0.060, 0.060)
O (0.351, 0.595, 0.858)
O (0.351, 0.696, 0.595)
O (0.351, 0.858, 0.696)
O (0.405, 0.142, 0.649)
O (0.405, 0.304, 0.142)
O (0.405, 0.649, 0.304)
O (0.595, 0.351, 0.696)
O (0.595, 0.696, 0.858)
O (0.595, 0.858, 0.351)
O (0.649, 0.142, 0.304)
O (0.649, 0.304, 0.405)
O (0.649, 0.405, 0.142)
O (0.680, 0.940, 0.940)
O (0.696, 0.351, 0.858)
O (0.696, 0.595, 0.351)
O (0.696, 0.858, 0.595)
O (0.858, 0.351, 0.595)
O (0.858, 0.595, 0.696)
O (0.858, 0.696, 0.351)
O (0.940, 0.680, 0.940)
O (0.940, 0.940, 0.680)
O (0.940, 0.940, 0.940)

Output
E_tot in eV/atom: -6.56
ΔE_f (raw) in meV/atom: -1546
V in Å³ per cell: 653.8
Space group: Fd-3

=====

No. 8
A relaxed structure of CrFe3, computed with GGA-PBEsol.

a b c (Å): 2.457 3.895 4.225
angles (deg): 90.00 90.00 90.00
Fractional coordinates of all 4 atoms:
Cr (0.000, 0.000, 0.000)
Fe (0.000, 0.500, 0.338)
Fe (0.500, 0.000, 0.494)
Fe (0.500, 0.500, 0.831)

Output
E_tot in eV/atom: -9.26
V in Å³ per cell: 40.4
E_form in eV/atom: 0.027
Space group: Pmm2

=====

No. 9
A relaxed structure of ReIrF3, computed with GGA-PBEsol.

a b c (Å): 4.082 4.082 4.082
angles (deg): 90.00 90.00 90.00
Fractional coordinates of all 5 atoms:
Re (0.000, 0.000, 0.000)
Ir (0.500, 0.500, 0.500)
F (0.000, 0.000, 0.500)
F (0.000, 0.500, 0.000)
F (0.500, 0.000, 0.000)

Output
E_tot in eV/atom: -5.33
ΔE_f (raw) in meV/atom: 459
V in Å³ per cell: 68.0
Space group: Pm-3m

=====

No. 10
A relaxed structure of Cd2CoCu, computed with GGA-PBEsol.

a b c (Å): 4.379 4.379 4.379
angles (deg): 60.00 60.00 60.00
Fractional coordinates of all 4 atoms:
Cd (0.250, 0.250, 0.250)
Cd (0.750, 0.750, 0.750)
Co (0.000, 0.000, 0.000)
Cu (0.500, 0.500, 0.500)

Output
E_tot in eV/atom: -3.38
Offset from the most stable computed form in kJ/mol of atoms: 0.00
V in Å³ per cell: 59.4
E_form in eV/atom: 0.236
Space group: Fm-3m

=====

No. 11
A relaxed structure of MgAgRu2, computed with GGA-PBEsol.

a b c (Å): 5.382 5.382 5.382
angles (deg): 149.18 131.09 58.93
Fractional coordinates of all 4 atoms:
Mg (0.000, 0.000, 0.000)
Ag (0.500, 0.500, 0.000)
Ru (0.247, 0.747, 0.500)
Ru (0.753, 0.253, 0.500)

Output
E_tot in eV/atom: -5.98
V in Å³ per cell: 59.7
E_form in eV/atom: 0.366
Space group: Immm

=====

No. 12
A relaxed structure of CdTc2Pt, computed with GGA-PBEsol.

a b c (Å): 2.724 4.213 5.421
angles (deg): 90.00 90.00 90.00
Fractional coordinates of all 4 atoms:
Cd (0.000, 0.000, 0.000)
Tc (0.500, 0.500, 0.284)
Tc (0.500, 0.500, 0.716)
Pt (0.000, 0.000, 0.500)

Output
E_tot in eV/atom: -7.43
V in Å³ per cell: 62.2
E_form in eV/atom: 0.239
Space group: Pmmm

=====

No. 13
A relaxed structure of LiMg2Pd, computed with GGA-PBEsol.

a b c (Å): 4.532 4.532 4.532
angles (deg): 60.00 60.00 60.00
Fractional coordinates of all 4 atoms:
Li (0.000, 0.000, 0.000)
Mg (0.250, 0.250, 0.250)
Mg (0.750, 0.750, 0.750)
Pd (0.500, 0.500, 0.500)

Output
E_tot in eV/atom: -3.29
V in Å³ per cell: 65.8
E_form in eV/atom: -0.449
Space group: Fm-3m

=====

No. 14
A relaxed structure of YBeP2, computed with GGA-PBEsol.

a b c (Å): 5.597 5.597 5.597
angles (deg): 108.91 108.91 110.59
Fractional coordinates of all 8 atoms:
Y (0.000, 0.000, 0.000)
Y (0.750, 0.250, 0.500)
Be (0.250, 0.750, 0.500)
Be (0.500, 0.500, 0.000)
P (0.203, 0.125, 0.578)
P (0.375, 0.797, 0.922)
P (0.547, 0.625, 0.422)
P (0.875, 0.453, 0.078)

Output
E_tot in eV/atom: -6.32
V in Å³ per cell: 134.9
E_form in eV/atom: -0.724
Space group: I-42d

=====

No. 15
A relaxed structure of La2YRu2, computed with GGA-PBEsol.

a b c (Å): 6.524 6.524 6.524
angles (deg): 138.51 138.51 60.12
Fractional coordinates of all 5 atoms:
La (0.250, 0.750, 0.500)
La (0.750, 0.250, 0.500)
Y (0.000, 0.000, 0.000)
Ru (0.389, 0.389, 0.000)
Ru (0.611, 0.611, 0.000)

Output
E_tot in eV/atom: -7.44
V in Å³ per cell: 120.6
E_form in eV/atom: 0.135
Space group: I4/mmm

=====

No. 16
A relaxed structure of AuBr5, computed with GGA-PBEsol.

a b c (Å): 7.367 6.427 6.427
angles (deg): 34.71 90.00 90.00
Fractional coordinates of all 6 atoms:
Au (0.000, 0.000, 0.000)
Br (0.000, 0.363, 0.363)
Br (0.000, 0.637, 0.637)
Br (0.500, 0.170, 0.170)
Br (0.500, 0.503, 0.503)
Br (0.500, 0.836, 0.836)

Output
E_tot in eV/atom: -2.16
ΔE_f (raw) in meV/atom: 52
Offset from the most stable computed form in kJ/mol of atoms: 0.00
V in Å³ per cell: 173.2
Space group: Amm2

=====

No. 17
A relaxed structure of MgCd3Sb, computed with GGA-PBEsol.

a b c (Å): 5.584 5.584 5.584
angles (deg): 90.00 90.00 90.00
Fractional coordinates of all 5 atoms:
Mg (0.000, 0.000, 0.000)
Cd (0.000, 0.500, 0.500)
Cd (0.500, 0.000, 0.500)
Cd (0.500, 0.500, 0.000)
Sb (0.500, 0.500, 0.500)

Output
E_tot in eV/atom: -1.49
ΔE_f (raw) in meV/atom: 487
V in Å³ per cell: 174.1
Space group: Pm-3m

=====

No. 18
A relaxed structure of Y2FeCo, computed with GGA-PBEsol.

a b c (Å): 6.029 6.029 6.029
angles (deg): 147.44 138.00 54.13
Fractional coordinates of all 4 atoms:
Y (0.000, 0.000, 0.000)
Y (0.722, 0.222, 0.500)
Fe (0.299, 0.799, 0.500)
Co (0.431, 0.431, 0.000)

Output
E_tot in eV/atom: -7.53
Offset from the most stable computed form in kJ/mol of atoms: 16.91
V in Å³ per cell: 78.4
E_form in eV/atom: 0.052
Space group: Imm2

=====

No. 19
A relaxed structure of ReSi3Au, computed with GGA-PBEsol.

a b c (Å): 4.638 4.638 4.638
angles (deg): 90.00 90.00 90.00
Fractional coordinates of all 5 atoms:
Re (0.000, 0.000, 0.000)
Si (0.000, 0.000, 0.500)
Si (0.000, 0.500, 0.000)
Si (0.500, 0.000, 0.000)
Au (0.500, 0.500, 0.500)

Output
E_tot in eV/atom: -6.44
ΔE_f (raw) in meV/atom: 460
V in Å³ per cell: 99.8
Space group: Pm-3m

=====

No. 20
A relaxed structure of Mg2CuRh, computed with GGA-PBEsol.

a b c (Å): 5.198 5.198 5.198
angles (deg): 145.01 131.35 61.32
Fractional coordinates of all 4 atoms:
Mg (0.000, 0.000, 0.000)
Mg (0.724, 0.224, 0.500)
Cu (0.477, 0.477, 0.000)
Rh (0.249, 0.749, 0.500)

Output
E_tot in eV/atom: -4.20
V in Å³ per cell: 59.8
E_form in eV/atom: -0.223
Space group: Imm2

=====

No. 21
A relaxed structure of LaMnSi, computed with GGA-PBEsol.

a b c (Å): 3.992 3.992 7.402
angles (deg): 90.00 90.00 90.00
Fractional coordinates of all 6 atoms:
La (0.250, 0.250, 0.176)
La (0.750, 0.750, 0.824)
Mn (0.250, 0.750, 0.500)
Mn (0.750, 0.250, 0.500)
Si (0.250, 0.250, 0.676)
Si (0.750, 0.750, 0.324)

Output
E_tot in eV/atom: -7.44
ΔE_f (raw) in meV/atom: -487
V in Å³ per cell: 117.9
Space group: P4/nmm

=====

No. 22
A relaxed structure of SrY2Ta, computed with GGA-PBEsol.

a b c (Å): 6.635 6.635 6.635
angles (deg): 147.40 131.08 60.03
Fractional coordinates of all 4 atoms:
Sr (0.000, 0.000, 0.000)
Y (0.430, 0.430, 0.000)
Y (0.715, 0.215, 0.500)
Ta (0.234, 0.734, 0.500)

Output
E_tot in eV/atom: -6.34
Offset from the most stable computed form in kJ/mol of atoms: 29.59
V in Å³ per cell: 117.6
E_form in eV/atom: 0.670
Space group: Imm2